Below is a geometry-optimized Be3AsH structure, with properties calculated at the PBE level.

V: 77 Å³/cell
total energy: -2.55 eV per atom
relative energy among the computed polymorphs: 0.784 eV per atom
symmetry: Pm-3m (221)
magnetic moment: 0.0 μB per formula unit

Lattice parameters (Å, degrees): 4.2511 4.2511 4.2511 90.00 90.00 90.00
Sites, in units of the cell vectors:
Be1 0.0000 0.0000 0.5000
Be2 0.0000 0.5000 0.0000
Be3 0.5000 0.0000 0.0000
As1 0.0000 0.0000 0.0000
H1 0.5000 0.5000 0.5000